# 1
## DyPa3Mn4N12 (GGA-PBE)

Data for a relaxed structure of DyPa3Mn4N12.

Unit cell a=7.0219 b=7.0219 c=7.0219 alpha=104.89 beta=104.89 gamma=104.89
Last column: magnetic moment on the atom in μB.
Atoms (fractional coordinates):
Dy (0.0000, 0.0000, 0.0000)  0.06
Mn (0.5000, 0.9549, 0.0451)  2.14
N (0.1979, 0.3420, 0.9723)  -0.06
N (0.3441, 0.6559, 0.5000)  -0.04
Mn (0.5000, 0.5000, 0.5000)  2.37
N (0.6559, 0.5000, 0.3441)  -0.04
N (0.0277, 0.6580, 0.8021)  -0.06
N (0.5000, 0.3441, 0.6559)  -0.04
Pa (0.5441, 0.4559, 0.0000)  0.25
N (0.5000, 0.1114, 0.8886)  -0.02
Pa (0.4559, 0.0000, 0.5441)  0.25
N (0.8021, 0.0277, 0.6580)  -0.06
N (0.9723, 0.1979, 0.3420)  -0.06
Mn (0.9549, 0.0451, 0.5000)  2.14
N (0.3420, 0.9723, 0.1979)  -0.06
Mn (0.0451, 0.5000, 0.9549)  2.14
Pa (0.0000, 0.5441, 0.4559)  0.25
N (0.6580, 0.8021, 0.0277)  -0.06
N (0.1114, 0.8886, 0.5000)  -0.02
N (0.8886, 0.5000, 0.1114)  -0.02

Values from the calculation:
theoretical density	6805	kg/m³
total magnetization	9.96	μB per cell
ΔE_f (raw)	-573	meV per atom

# 2
## La2Tb8Pr (GGA-PBE)

Data for a relaxed structure of La2Tb8Pr.

Unit cell a=5.6192 b=10.2016 c=10.2016 alpha=40.93 beta=92.46 gamma=92.46
Atoms (fractional coordinates):
Tb (0.7353, 0.8612, 0.3980)
Tb (0.2646, 0.1388, 0.6020)
Tb (0.7604, 0.4560, 0.4560)
Tb (0.7664, 0.8149, 0.8149)
La (0.2556, 0.7147, 0.7147)
Tb (0.2336, 0.1851, 0.1851)
Tb (0.7353, 0.3980, 0.8612)
Tb (0.2646, 0.6020, 0.1388)
Pr (0.0000, 0.0000, 0.0000)
Tb (0.2396, 0.5440, 0.5440)
La (0.7444, 0.2853, 0.2853)

Values from the calculation:
theoretical density	7333	kg/m³
total magnetization	0.00	μB per cell
energy relative to the lowest polymorph listed for this composition	0.53	eV per formula unit
ΔH_f (0 K)	0.164	eV/atom

# 3
## NaPmZnPd (GGA-PBE)

Data for a relaxed structure of NaPmZnPd.

Unit cell a=4.9984 b=4.9984 c=4.9984 alpha=60.00 beta=60.00 gamma=60.00
Atoms (fractional coordinates):
Pm (0.2500, 0.2500, 0.2500)
Zn (0.0000, 0.0000, 0.0000)
Pd (0.5000, 0.5000, 0.5000)
Na (0.7500, 0.7500, 0.7500)

Values from the calculation:
theoretical density	6390	kg/m³
total magnetization	0.00	μB per cell
ΔH_f (0 K)	-0.269	eV/atom

Q: theoretical density of number 1 (DyPa3Mn4N12)?
A: 6805 kg/m³

Copy entry 1 word for word.
## DyPa3Mn4N12 (GGA-PBE)

Data for a relaxed structure of DyPa3Mn4N12.

Unit cell a=7.0219 b=7.0219 c=7.0219 alpha=104.89 beta=104.89 gamma=104.89
Last column: magnetic moment on the atom in μB.
Atoms (fractional coordinates):
Dy (0.0000, 0.0000, 0.0000)  0.06
Mn (0.5000, 0.9549, 0.0451)  2.14
N (0.1979, 0.3420, 0.9723)  -0.06
N (0.3441, 0.6559, 0.5000)  -0.04
Mn (0.5000, 0.5000, 0.5000)  2.37
N (0.6559, 0.5000, 0.3441)  -0.04
N (0.0277, 0.6580, 0.8021)  -0.06
N (0.5000, 0.3441, 0.6559)  -0.04
Pa (0.5441, 0.4559, 0.0000)  0.25
N (0.5000, 0.1114, 0.8886)  -0.02
Pa (0.4559, 0.0000, 0.5441)  0.25
N (0.8021, 0.0277, 0.6580)  -0.06
N (0.9723, 0.1979, 0.3420)  -0.06
Mn (0.9549, 0.0451, 0.5000)  2.14
N (0.3420, 0.9723, 0.1979)  -0.06
Mn (0.0451, 0.5000, 0.9549)  2.14
Pa (0.0000, 0.5441, 0.4559)  0.25
N (0.6580, 0.8021, 0.0277)  -0.06
N (0.1114, 0.8886, 0.5000)  -0.02
N (0.8886, 0.5000, 0.1114)  -0.02

Values from the calculation:
theoretical density	6805	kg/m³
total magnetization	9.96	μB per cell
ΔE_f (raw)	-573	meV per atom

Q: What is the total magnetization in the first record?
A: 9.96 μB per cell

Q: What is the total magnetization in the second record?
A: 0.00 μB per cell